Entry 1:
This record from Alexandria via LeMat-Bulk describes Mg2Ga2Sn after structural relaxation. The functional is GGA-PBEsol.

CIF file:
```
data_Mg2Ga2Sn
_symmetry_space_group_name_H-M 'I 4/m m m'
_symmetry_Int_Tables_number 139
_symmetry_space_group_name_Hall '-I 4 2'
_cell_length_a 4.299
_cell_length_b 4.299
_cell_length_c 11.687
_cell_angle_alpha 90.00
_cell_angle_beta 90.00
_cell_angle_gamma 90.00
loop_
_atom_site_label
_atom_site_fract_x
_atom_site_fract_y
_atom_site_fract_z
Mg1 0.000 0.500 0.250
Ga1 0.000 0.000 0.102
Sn1 0.000 0.000 0.500
```

Summary:
**Total DFT energy (no corrections)**: -2.889 eV/atom

=====

Entry 2:
This record from Alexandria via LeMat-Bulk describes MgGaSn2 after structural relaxation. The functional is GGA-PBEsol.

CIF file:
```
data_MgGaSn2
_symmetry_space_group_name_H-M 'I -4 2 d'
_symmetry_Int_Tables_number 122
_symmetry_space_group_name_Hall 'I -4 2bw'
_cell_length_a 7.996
_cell_length_b 7.996
_cell_length_c 5.981
_cell_angle_alpha 90.00
_cell_angle_beta 90.00
_cell_angle_gamma 90.00
loop_
_atom_site_label
_atom_site_fract_x
_atom_site_fract_y
_atom_site_fract_z
Mg1 0.000 0.000 0.000
Ga1 0.000 0.000 0.500
Sn1 0.212 0.750 0.625
```

Summary:
**Total DFT energy (no corrections)**: -3.401 eV/atom